Compound: Sr2YCu2NiO7
Source: Alexandria
Functional: GGA+U
Structure: relaxed

Cell: 12.135 12.135 12.135 Å, 37.13 153.76 154.20°
Element x y z (fractional)
Sr1 0.014 0.153 0.166
Sr2 0.014 0.347 0.361
Sr3 0.986 0.653 0.639
Sr4 0.986 0.847 0.834
Y1 0.003 0.003 0.000
Y2 0.003 0.503 0.500
Cu1 0.503 0.078 0.575
Cu2 0.503 0.429 0.926
Cu3 0.503 0.578 0.074
Cu4 0.503 0.929 0.425
Ni1 0.387 0.710 0.178
Ni2 0.532 0.210 0.822
O1 0.003 0.321 0.812
O2 0.003 0.691 0.183
O3 0.004 0.188 0.692
O4 0.004 0.812 0.316
O5 0.218 0.856 0.862
O6 0.485 0.199 0.636
O7 0.485 0.349 0.785
O8 0.496 0.312 0.308
O9 0.496 0.688 0.684
O10 0.509 0.191 0.188
O11 0.509 0.821 0.817
O12 0.564 0.699 0.215
O13 0.564 0.849 0.364
O14 0.994 0.356 0.138

## Properties
magnetic moment	0.237	μB per atom
density	5.434	g/cm3
DFT total energy	-6.113	eV/atom
V	13.209	Å³/atom